Below is crystalline La5PuSb6 at its relaxed geometry, with properties calculated at the PBE level.

DOS at the Fermi energy, states/eV/atom: 1.5144

Lattice parameters (Å, degrees): 7.9617 13.7899 7.9625 90.00 109.48 90.00
Closest atoms and distances in Å follow each position.
Space group C2/m (No. 12)
Symmetry-distinct sites (fractional):
La 0.0000 0.0000 0.0000 x2  6 Sb 3.25-3.31
La 0.0000 0.1659 0.5000 x4  6 Sb 3.25-3.26
La 0.0000 0.3313 0.0000 x4  6 Sb 3.25-3.29
Pu 0.0000 0.5000 0.5000 x2  6 Sb 3.19
Sb 0.2439 0.5000 0.2528 x4  1 Pu 3.19, 5 La 3.25-3.31
Sb 0.2449 0.3367 0.7455 x8  1 Pu 3.19, 5 La 3.25-3.29

Below is crystalline LaPu2Sb2 at its relaxed geometry, with properties calculated at the PBE level.

DOS at the Fermi energy, states/eV/atom: 3.5750

Lattice parameters (Å, degrees): 6.1842 8.7978 12.2538 90.00 90.00 90.00
Closest atoms and distances in Å follow each position.
Space group Imma (No. 74)
Symmetry-distinct sites (fractional):
La 0.0000 0.2500 0.1287 x4  4 Sb 3.11-3.32
Pu 0.0000 0.0894 0.6369 x8  1 Pu 2.83, 1 Sb 3.02
Sb 0.0000 0.2500 0.3996 x4  4 Pu 3.02-3.23, 3 La 3.11-3.32
Sb 0.0000 0.2500 0.8681 x4  6 Pu 3.17-3.40, 1 La 3.19

In the order shown, the computed energy relative to the elements, uncorrected values come out to -1.148 -0.510 eV per atom.